LaTmAg2Sb4 | PBE | relaxed

a b c (Å): 4.3820 4.3820 10.5811
angles (deg): 90.00 90.00 90.00
Sites, in units of the cell vectors:
La  0.0000  0.0000  0.0000
Tm  0.5000  0.5000  0.5247
Ag  0.0000  0.5000  0.2726
Ag  0.5000  0.0000  0.2726
Sb  0.0000  0.0000  0.4517
Sb  0.0000  0.5000  0.7537
Sb  0.5000  0.0000  0.7537
Sb  0.5000  0.5000  0.0917

Values from the calculation:
- volume (Å³/atom) = 25.4
- final energy (eV for the cell shown) = -36.750

LaScAg | PBE | relaxed

a b c (Å): 8.5336 8.5336 8.5336
angles (deg): 32.17 32.17 32.17
Sites, in units of the cell vectors:
La  0.2114  0.2114  0.2114
La  0.7886  0.7886  0.7886
Sc  0.0559  0.0559  0.0559
Sc  0.9441  0.9441  0.9441
Ag  0.3531  0.3531  0.3531
Ag  0.6469  0.6469  0.6469

Values from the calculation:
- volume (Å³/atom) = 26.1
- final energy (eV for the cell shown) = -27.551
- energy above the most stable polymorph in this dataset (meV per atom) = 0
- formation energy from the elements (eV per atom) = 0.100

LaScAg2Sn2 | PBE | relaxed

a b c (Å): 4.7193 4.7193 7.4519
angles (deg): 90.00 90.00 120.00
Sites, in units of the cell vectors:
La  0.0000  0.0000  0.0000
Sc  0.0000  0.0000  0.5031
Ag  0.3333  0.6667  0.6778
Ag  0.6667  0.3333  0.2463
Sn  0.3333  0.6667  0.2910
Sn  0.6667  0.3333  0.7617

Values from the calculation:
- volume (Å³/atom) = 24.0
- final energy (eV for the cell shown) = -28.268

LaAgSnTeSe2 | PBE | relaxed

a b c (Å): 7.4086 7.4086 11.4793
angles (deg): 90.00 90.00 146.77
Sites, in units of the cell vectors:
La  0.0000  0.0000  0.0000
La  0.0000  0.0000  0.5000
Ag  0.4786  0.5214  0.7500
Ag  0.5214  0.4786  0.2500
Sn  0.2151  0.7849  0.2500
Sn  0.7849  0.2151  0.7500
Te  0.1106  0.8894  0.7500
Te  0.8894  0.1106  0.2500
Se  0.3597  0.6403  0.5715
Se  0.3597  0.6403  0.9285
Se  0.6403  0.3597  0.0715
Se  0.6403  0.3597  0.4285

Values from the calculation:
- volume (Å³/atom) = 28.8
- final energy (eV for the cell shown) = -54.344

LaAgSnTe2Se | PBE | relaxed

a b c (Å): 7.6794 7.6794 10.9860
angles (deg): 90.00 90.00 146.98
Sites, in units of the cell vectors:
La  0.0000  0.0000  0.0000
La  0.0000  0.0000  0.5000
Ag  0.4775  0.5225  0.7500
Ag  0.5225  0.4775  0.2500
Sn  0.2527  0.7473  0.2500
Sn  0.7473  0.2527  0.7500
Te  0.3449  0.6551  0.5660
Te  0.3449  0.6551  0.9340
Te  0.6551  0.3449  0.0660
Te  0.6551  0.3449  0.4340
Se  0.0875  0.9125  0.7500
Se  0.9125  0.0875  0.2500

Values from the calculation:
- volume (Å³/atom) = 29.4
- final energy (eV for the cell shown) = -52.642

SrLaAgTeSe2 | PBE | relaxed

a b c (Å): 7.5785 7.5785 11.6148
angles (deg): 90.00 90.00 146.87
Sites, in units of the cell vectors:
Sr  0.2210  0.7790  0.7500
Sr  0.7790  0.2210  0.2500
La  0.0000  0.0000  0.0000
La  0.0000  0.0000  0.5000
Ag  0.4807  0.5193  0.2500
Ag  0.5193  0.4807  0.7500
Te  0.1040  0.8960  0.2500
Te  0.8960  0.1040  0.7500
Se  0.3652  0.6348  0.0724
Se  0.3652  0.6348  0.4276
Se  0.6348  0.3652  0.5724
Se  0.6348  0.3652  0.9276

Values from the calculation:
- volume (Å³/atom) = 30.4
- final energy (eV for the cell shown) = -56.671

SrLaAgTe2Se | PBE | relaxed

a b c (Å): 7.6778 7.6778 11.2166
angles (deg): 90.00 90.00 146.13
Sites, in units of the cell vectors:
Sr  0.2355  0.7645  0.7500
Sr  0.7645  0.2355  0.2500
La  0.5000  0.5000  0.0000
La  0.5000  0.5000  0.5000
Ag  0.0248  0.9752  0.2500
Ag  0.9752  0.0248  0.7500
Te  0.1510  0.8490  0.0629
Te  0.1510  0.8490  0.4371
Te  0.8490  0.1510  0.5629
Te  0.8490  0.1510  0.9371
Se  0.4177  0.5823  0.2500
Se  0.5823  0.4177  0.7500

Values from the calculation:
- volume (Å³/atom) = 30.7
- final energy (eV for the cell shown) = -54.969

LaSmSi3Ag | PBE | relaxed

a b c (Å): 8.3908 8.3422 5.9875
angles (deg): 69.47 68.60 41.93
Sites, in units of the cell vectors:
La  0.2435  0.7565  0.2435
La  0.7565  0.2435  0.7565
Sm  0.2500  0.2500  0.2500
Sm  0.7500  0.7500  0.7500
Si  0.1626  0.6722  0.8374
Si  0.1643  0.1643  0.8357
Si  0.3278  0.8374  0.6722
Si  0.6722  0.1626  0.3278
Si  0.8357  0.8357  0.1643
Si  0.8374  0.3278  0.1626
Ag  0.3331  0.3331  0.6669
Ag  0.6669  0.6669  0.3331

Values from the calculation:
- volume (Å³/atom) = 21.6
- final energy (eV for the cell shown) = -65.485
- energy above the most stable polymorph in this dataset (meV per atom) = 0

La2SmZn2Si4Ag2 | PBE | relaxed

a b c (Å): 13.0401 13.0401 13.0401
angles (deg): 161.47 160.92 26.72
Sites, in units of the cell vectors:
La  0.1485  0.1485  0.0000
La  0.8515  0.8515  0.0000
Sm  0.5000  0.0000  0.5000
Zn  0.2502  0.7502  0.5000
Zn  0.7498  0.2498  0.5000
Si  0.0462  0.5462  0.5000
Si  0.3060  0.3060  0.0000
Si  0.6940  0.6940  0.0000
Si  0.9538  0.4538  0.5000
Ag  0.4054  0.4054  0.0000
Ag  0.5946  0.5946  0.0000

Values from the calculation:
- volume (Å³/atom) = 20.9
- final energy (eV for the cell shown) = -50.334

LaSiAg2Sn | PBE | relaxed

a b c (Å): 4.4341 4.4341 11.3091
angles (deg): 90.00 90.00 90.00
Sites, in units of the cell vectors:
La  0.0000  0.0000  0.0000
La  0.5000  0.5000  0.5000
Si  0.0000  0.0000  0.6136
Si  0.5000  0.5000  0.1136
Ag  0.0000  0.5000  0.2319
Ag  0.0000  0.5000  0.7319
Ag  0.5000  0.0000  0.2319
Ag  0.5000  0.0000  0.7319
Sn  0.0000  0.0000  0.3844
Sn  0.5000  0.5000  0.8844

Values from the calculation:
- volume (Å³/atom) = 22.2
- final energy (eV for the cell shown) = -44.346

LaSi2TcAg | PBE | relaxed

a b c (Å): 4.2102 4.2102 10.5424
angles (deg): 90.00 90.00 90.00
Sites, in units of the cell vectors:
La  0.0000  0.0000  0.0000
La  0.5000  0.5000  0.5000
Si  0.0000  0.0000  0.3806
Si  0.0000  0.0000  0.6194
Si  0.5000  0.5000  0.1194
Si  0.5000  0.5000  0.8806
Tc  0.0000  0.5000  0.2500
Tc  0.5000  0.0000  0.7500
Ag  0.0000  0.5000  0.7500
Ag  0.5000  0.0000  0.2500

Values from the calculation:
- volume (Å³/atom) = 18.7
- final energy (eV for the cell shown) = -62.251

La2ZnSi2Ag | PBE | relaxed

a b c (Å): 4.3668 4.3668 8.4358
angles (deg): 90.00 90.00 120.00
Sites, in units of the cell vectors:
La  0.0000  0.0000  0.2455
La  0.0000  0.0000  0.7545
Zn  0.3333  0.6667  0.5000
Si  0.3333  0.6667  0.0000
Si  0.6667  0.3333  0.5000
Ag  0.6667  0.3333  0.0000

Values from the calculation:
- volume (Å³/atom) = 23.2
- final energy (eV for the cell shown) = -28.234